# 1
A geometry-optimized TiAl4Ga structure. Source: Alexandria via LeMat-Bulk, functional PBE-GGA.

The energy relative to the lowest polymorph listed for this composition comes out at 0 meV/atom. Its total energy is -4.492 eV per atom. The formation energy comes out at -0.18 eV/atom.

It has space group Cmc2_1 (No. 36), with a = 3.8706 Å, b = 12.1597 Å, c = 8.2838 Å, α = 90.00°, β = 90.00° and γ = 90.00°. The distinct sites, in fractional coordinates, are Ti at (0.0000, 0.1611, 0.0000), Al at (0.0000, 0.0009, 0.2512), Al at (0.0000, 0.1753, 0.5007), Al at (0.0000, 0.3311, 0.7520), Al at (0.0000, 0.4975, 0.9999) and Ga at (0.0000, 0.3291, 0.2492).


# 2
A geometry-optimized Ge2TeSe structure. Source: Alexandria via LeMat-Bulk, functional PBE-GGA.

The energy relative to the lowest polymorph listed for this composition comes out at 21 meV/atom. Its total energy is -4.082 eV per atom. Its energy relative to the elements, uncorrected is -0.117 eV per atom.

It has space group R3m (No. 160, hexagonal axes), with a = 4.0065 Å, b = 4.0065 Å, c = 23.9066 Å, α = 90.00°, β = 90.00° and γ = 120.00°. The distinct sites, in fractional coordinates, are Ge at (0.0000, 0.0000, 0.0000), Ge at (0.0000, 0.0000, 0.1686), Te at (0.0000, 0.0000, 0.5676) and Se at (0.0000, 0.0000, 0.3871).


# 3
A geometry-optimized TaSi2Os structure. Source: Alexandria via LeMat-Bulk, functional PBE-GGA.

Its total energy is -8.790 eV per atom. Its energy relative to the elements, uncorrected is -0.308 eV per atom.

It has space group Imm2 (No. 44), with a = 3.0024 Å, b = 3.8168 Å, c = 10.6385 Å, α = 90.00°, β = 90.00° and γ = 90.00°. The distinct sites, in fractional coordinates, are Ta at (0.0000, 0.0000, 0.0000), Si at (0.0000, 0.0000, 0.4197), Si at (0.0000, 0.5000, 0.1766) and Os at (0.0000, 0.5000, 0.7383).


# 4
A geometry-optimized InAs3O structure. Source: Alexandria via LeMat-Bulk, functional PBE-GGA.

The energy relative to the lowest polymorph listed for this composition comes out at 1174 meV/atom. Its total energy is -2.922 eV per atom. Its energy relative to the elements, uncorrected is 1.407 eV per atom.

It has space group Pm-3m (No. 221), with a = 5.2473 Å, b = 5.2473 Å, c = 5.2473 Å, α = 90.00°, β = 90.00° and γ = 90.00°. The distinct sites, in fractional coordinates, are In at (0.0000, 0.0000, 0.0000), As at (0.0000, 0.0000, 0.5000) and O at (0.5000, 0.5000, 0.5000).


# 5
A geometry-optimized SmTm5Cd4 structure. Source: Alexandria via LeMat-Bulk, functional PBE-GGA.

Its total energy is -3.312 eV per atom. The formation energy comes out at -0.24 eV/atom.

It has space group P4/mmm (No. 123), with a = 3.6441 Å, b = 3.6441 Å, c = 20.1499 Å, α = 90.00°, β = 90.00° and γ = 90.00°. The distinct sites, in fractional coordinates, are Sm at (0.0000, 0.0000, 0.0000), Tm at (0.5000, 0.5000, 0.1230), Tm at (0.5000, 0.5000, 0.3130), Tm at (0.5000, 0.5000, 0.5000), Cd at (0.0000, 0.0000, 0.2178) and Cd at (0.0000, 0.0000, 0.4054).


# 6
A geometry-optimized Er4Zn2In structure. Source: Alexandria via LeMat-Bulk, functional PBE-GGA.

The energy relative to the lowest polymorph listed for this composition comes out at 0 meV/atom. Its total energy is -3.577 eV per atom. The formation energy comes out at -0.21 eV/atom.

It has space group R-3m (No. 166, hexagonal axes), with a = 5.0299 Å, b = 5.0299 Å, c = 24.2306 Å, α = 90.00°, β = 90.00° and γ = 120.00°. The distinct sites, in fractional coordinates, are Er at (0.0000, 0.0000, 0.1136), Er at (0.0000, 0.0000, 0.3679), Zn at (0.0000, 0.0000, 0.2460) and In at (0.0000, 0.0000, 0.5000).


# 7
A geometry-optimized TePd4O structure. Source: Alexandria via LeMat-Bulk, functional PBE-GGA.

Its total energy is -4.812 eV per atom. Its energy relative to the elements, uncorrected is 0.000 eV per atom.

It has space group I4_1md (No. 109), with a = 7.5228 Å, b = 7.5228 Å, c = 7.8064 Å, α = 90.00°, β = 90.00° and γ = 90.00°. The distinct sites, in fractional coordinates, are Te at (0.0000, 0.0000, 0.0000), Pd at (0.0000, 0.1739, 0.2980), Pd at (0.0000, 0.2553, 0.7588) and O at (0.0000, 0.0000, 0.6343).


# 8
A geometry-optimized Ag3Te structure. Source: Alexandria via LeMat-Bulk, functional PBE-GGA.

The energy relative to the lowest polymorph listed for this composition comes out at 114 meV/atom. Its total energy is -2.783 eV per atom. Its energy relative to the elements, uncorrected is 0.141 eV per atom.

It has space group Imm2 (No. 44), with a = 3.0521 Å, b = 9.9181 Å, c = 5.5215 Å, α = 90.00°, β = 90.00° and γ = 90.00°. The distinct sites, in fractional coordinates, are Ag at (0.0000, 0.0000, 0.0000), Ag at (0.0000, 0.2568, 0.3148) and Te at (0.0000, 0.5000, 0.9967).


# 9
A geometry-optimized NbBTe2P structure. Source: Alexandria via LeMat-Bulk, functional PBE-GGA.

The energy relative to the lowest polymorph listed for this composition comes out at 355 meV/atom. Its total energy is -4.577 eV per atom. Its energy relative to the elements, uncorrected is 1.111 eV per atom.

It has space group P4/mmm (No. 123), with a = 5.4613 Å, b = 5.4613 Å, c = 4.7427 Å, α = 90.00°, β = 90.00° and γ = 90.00°. The distinct sites, in fractional coordinates, are Nb at (0.0000, 0.0000, 0.0000), B at (0.5000, 0.5000, 0.5000), Te at (0.0000, 0.5000, 0.0000) and P at (0.0000, 0.0000, 0.5000).


# 10
A geometry-optimized HfVTcSn structure. Source: Alexandria via LeMat-Bulk, functional PBE-GGA.

Its total energy is -8.551 eV per atom. The formation energy comes out at -0.19 eV/atom.

It has space group F-43m (No. 216), with a = 6.5349 Å, b = 6.5349 Å, c = 6.5349 Å, α = 90.00°, β = 90.00° and γ = 90.00°. The distinct sites, in fractional coordinates, are Hf at (0.0000, 0.0000, 0.0000), V at (0.2500, 0.2500, 0.7500), Tc at (0.2500, 0.2500, 0.2500) and Sn at (0.0000, 0.0000, 0.5000).


# 11
A geometry-optimized Co2BiSb structure. Source: Alexandria via LeMat-Bulk, functional PBE-GGA.

The energy relative to the lowest polymorph listed for this composition comes out at 0 meV/atom. Its total energy is -5.130 eV per atom. Its energy relative to the elements, uncorrected is 0.424 eV per atom.

It has space group Fm-3m (No. 225), with a = 6.5952 Å, b = 6.5952 Å, c = 6.5952 Å, α = 90.00°, β = 90.00° and γ = 90.00°. The distinct sites, in fractional coordinates, are Co at (0.2500, 0.2500, 0.2500), Bi at (0.0000, 0.0000, 0.0000) and Sb at (0.0000, 0.0000, 0.5000).


# 12
A geometry-optimized K3BaO structure. Source: Alexandria via LeMat-Bulk, functional PBE-GGA.

The energy relative to the lowest polymorph listed for this composition comes out at 1194 meV/atom. Its total energy is -1.111 eV per atom. Its energy relative to the elements, uncorrected is 0.923 eV per atom.

It has space group Pm-3m (No. 221), with a = 8.1650 Å, b = 8.1650 Å, c = 8.1650 Å, α = 90.00°, β = 90.00° and γ = 90.00°. The distinct sites, in fractional coordinates, are K at (0.0000, 0.0000, 0.5000), Ba at (0.0000, 0.0000, 0.0000) and O at (0.5000, 0.5000, 0.5000).


# 13
A geometry-optimized MgCd2Sn structure. Source: Alexandria via LeMat-Bulk, functional PBE-GGA.

The energy relative to the lowest polymorph listed for this composition comes out at 83 meV/atom. Its total energy is -1.808 eV per atom. The formation energy comes out at 0.05 eV/atom.

It has space group R3m (No. 160, hexagonal axes), with a = 4.8604 Å, b = 4.8604 Å, c = 14.8952 Å, α = 90.00°, β = 90.00° and γ = 120.00°. The distinct sites, in fractional coordinates, are Mg at (0.0000, 0.0000, 0.0000), Cd at (0.0000, 0.0000, 0.4280), Cd at (0.0000, 0.0000, 0.6349) and Sn at (0.0000, 0.0000, 0.2073).


# 14
A geometry-optimized Sr2ZrBr structure. Source: Alexandria via LeMat-Bulk, functional PBE-GGA.

The energy relative to the lowest polymorph listed for this composition comes out at 793 meV/atom. Its total energy is -2.984 eV per atom. Its energy relative to the elements, uncorrected is 0.412 eV per atom.

It has space group F-43m (No. 216), with a = 8.3314 Å, b = 8.3314 Å, c = 8.3314 Å, α = 90.00°, β = 90.00° and γ = 90.00°. The distinct sites, in fractional coordinates, are Sr at (0.0000, 0.0000, 0.0000), Sr at (0.2500, 0.2500, 0.2500), Zr at (0.2500, 0.2500, 0.7500) and Br at (0.0000, 0.0000, 0.5000).


# 15
A geometry-optimized Na3PuNp3N8 structure. Source: Alexandria via LeMat-Bulk, functional PBE-GGA.

Its total energy is -9.057 eV per atom. Its energy relative to the elements, uncorrected is -0.809 eV per atom.

It has space group R-3m (No. 166, hexagonal axes), with a = 6.9469 Å, b = 6.9469 Å, c = 16.9979 Å, α = 90.00°, β = 90.00° and γ = 120.00°. The distinct sites, in fractional coordinates, are Na at (0.0000, 0.5000, 0.0000), Pu at (0.0000, 0.0000, 0.5000), Np at (0.0000, 0.5000, 0.5000), N at (0.0000, 0.0000, 0.2282) and N at (0.0044, 0.5022, 0.7777).